{"formula": "TiNi2Br", "functional": "PBE", "state": "optimized geometry", "cell": [[-1.8246, -2.8156, -2.8026], [-3.7477, -1.9976, 1.0372], [-3.6946, 1.0689, -2.0781]], "species": ["Br", "Ni", "Ni", "Ti"], "frac_coords": [[0.5000, 0.5000, 0.5000], [0.7500, 0.7500, 0.7500], [0.2500, 0.2500, 0.2500], [0.0000, 0.0000, 0.0000]], "polymorph_energy_ev_per_atom": 0.181, "final_energy_ev_per_atom": -4.8940}

***

{"formula": "Mg2PaAlO6", "functional": "PBE", "state": "optimized geometry", "cell": [[-1.4438, -4.6617, 2.0177], [3.5833, -3.0819, 2.3557], [-0.2193, -0.5004, 5.5982]], "species": ["O", "O", "O", "O", "O", "O", "Mg", "Mg", "Al", "Pa"], "frac_coords": [[0.2184, 0.9468, 0.2485], [0.1267, 0.4055, 0.7701], [0.5862, 0.2184, 0.2486], [0.6977, 0.1267, 0.7702], [0.9468, 0.5862, 0.2485], [0.4055, 0.6977, 0.7701], [0.5272, 0.5272, 0.4184], [0.0224, 0.0224, 0.9330], [0.3182, 0.3183, 0.0453], [0.8125, 0.8125, 0.5625]], "final_energy_ev_per_atom": -7.6250}

***

{"formula": "Pr3TlCd", "functional": "PBE", "state": "optimized geometry", "cell": [[9.7804, -0.3349, -0.2505], [0.2278, 7.9250, -1.6789], [0.2278, 0.6284, 8.0765]], "species": ["Pr", "Pr", "Pr", "Pr", "Pr", "Pr", "Pr", "Pr", "Pr", "Pr", "Pr", "Pr", "Cd", "Cd", "Cd", "Cd", "Tl", "Tl", "Tl", "Tl"], "frac_coords": [[0.1594, 0.5644, 0.9356], [0.0736, 0.7000, 0.4569], [0.3406, 0.0644, 0.4356], [0.5736, 0.4569, 0.7000], [0.0736, 0.0431, 0.8000], [0.9264, 0.9569, 0.2000], [0.4264, 0.2000, 0.9569], [0.4264, 0.5431, 0.3000], [0.8406, 0.4356, 0.0644], [0.9264, 0.3000, 0.5431], [0.6594, 0.9356, 0.5644], [0.5736, 0.8000, 0.0431], [0.7500, 0.5970, 0.4030], [0.2500, 0.4030, 0.5970], [0.2500, 0.9030, 0.0970], [0.7500, 0.0970, 0.9030], [0.8618, 0.7059, 0.7942], [0.1382, 0.2941, 0.2058], [0.6382, 0.2058, 0.2941], [0.3618, 0.7942, 0.7059]], "polymorph_energy_ev_per_atom": 0.071, "ef_ev_per_fu": -1.0, "final_energy_ev_per_atom": -3.7169}

***

{"formula": "SrMnCu2", "functional": "PBE", "state": "optimized geometry", "cell": [[-4.6879, -2.8678, 1.4454], [-2.5155, -3.0934, -4.0488], [4.6782, 0.8949, 3.0989]], "species": ["Cu", "Cu", "Sr", "Mn"], "frac_coords": [[0.7611, 0.2611, 0.5000], [0.9598, 0.9598, 0.0000], [0.2401, 0.7401, 0.5000], [0.5391, 0.5391, 0.0000]], "ef_ev_per_fu": 1.7, "final_energy_ev_per_atom": -4.3456}

***

{"formula": "TbPrAlAg", "functional": "PBE", "state": "optimized geometry", "cell": [[3.6282, 0.0000, 0.0000], [0.0000, 3.6282, 0.0000], [0.0000, 0.0000, 7.7227]], "species": ["Al", "Pr", "Ag", "Tb"], "frac_coords": [[0.5000, 0.5000, 0.5915], [0.0000, 0.0000, 0.8493], [0.5000, 0.5000, 0.1323], [0.0000, 0.0000, 0.3550]], "polymorph_energy_ev_per_atom": 0.000, "ef_ev_per_fu": -1.3, "final_energy_ev_per_atom": -4.3344}

***

{"formula": "ScGeTeI2", "functional": "PBE", "state": "optimized geometry", "cell": [[-0.5835, -4.5779, 3.0815], [0.2431, -3.1170, -4.5846], [5.6740, -0.3572, 0.5437]], "species": ["I", "I", "Te", "Sc", "Ge"], "frac_coords": [[0.5000, 0.0000, 0.0000], [0.0000, 0.5000, 0.0000], [0.0000, 0.0000, 0.5000], [0.5000, 0.5000, 0.5000], [0.0000, 0.0000, 0.0000]], "polymorph_energy_ev_per_atom": 0.333, "final_energy_ev_per_atom": -3.2913}